The following is a GGA-PBE calculation of a relaxed structure of NpCr2CN, from Alexandria via LeMat-Bulk.

Output
Volume   11.23 Å³/atom
Total DFT energy (no corrections)   -0.76117 Ry per atom
Size of the total moment   2.7 μB per formula unit
Crystal system   orthorhombic
ΔE_f (raw)   -0.409 eV/atom

Cell lengths 3.1262, 10.4680, 6.8605 Å; angles 90.00, 90.00, 90.00 degrees
Space group Cmcm (No. 63)
Symmetry-distinct sites (fractional):
Np (0.0000, 0.0423, 0.2500) x4
Cr (0.0000, 0.3188, 0.0662) x8
C (0.0000, 0.2522, 0.7500) x4
N (0.0000, 0.5000, 0.0000) x4